# 1
! Ge2TeAs PBE relaxed; values from VASP
&SYSTEM
  ibrav = 0, nat = 4, ntyp = 3
/
ATOMIC_SPECIES
Ge 72.64 Ge.upf
Te 127.60 Te.upf
As 74.92 As.upf
ATOMIC_POSITIONS crystal
Ge 0.082 0.082 0.755
Ge 0.273 0.273 0.180
Te 0.485 0.485 0.545
As 0.660 0.660 0.020
CELL_PARAMETERS angstrom
-2.314 2.108 -2.324
-2.905 -1.727 -1.943
-6.480 1.444 4.493
! SG: No. 160
! E above lowest polymorph: 0 meV per atom
! Uncorrected energy: -4.208 eV per atom
! Formation energy (no corrections): 49 meV per atom

# 2
! Ge5Te12As3 PBE relaxed; values from VASP
&SYSTEM
  ibrav = 0, nat = 80, ntyp = 3
/
ATOMIC_SPECIES
As 74.92 As.upf
Ge 72.64 Ge.upf
Te 127.60 Te.upf
ATOMIC_POSITIONS crystal
As 0.750 0.375 0.125
As 0.875 0.750 0.125
As 0.375 0.750 0.625
As 0.250 0.125 0.375
As 0.875 0.125 0.250
As 0.375 0.625 0.250
As 0.625 0.375 0.750
As 0.125 0.875 0.750
As 0.750 0.875 0.625
As 0.625 0.250 0.375
As 0.125 0.250 0.875
As 0.250 0.625 0.875
Ge 0.125 0.375 0.250
Ge 0.000 0.500 0.000
Ge 0.000 0.000 0.000
Ge 0.375 0.250 0.125
Ge 0.500 0.000 0.500
Ge 0.500 0.500 0.000
Ge 0.125 0.750 0.375
Ge 0.750 0.125 0.875
Ge 0.750 0.625 0.375
Ge 0.375 0.125 0.750
Ge 0.625 0.875 0.250
Ge 0.500 0.500 0.500
Ge 0.500 0.000 0.000
Ge 0.000 0.000 0.500
Ge 0.250 0.375 0.625
Ge 0.250 0.875 0.125
Ge 0.000 0.500 0.500
Ge 0.875 0.250 0.625
Ge 0.625 0.750 0.875
Ge 0.875 0.625 0.750
Te 0.723 0.125 0.044
Te 0.322 0.544 0.419
Te 0.956 0.375 0.277
Te 0.544 0.223 0.125
Te 0.598 0.723 0.678
Te 0.956 0.581 0.178
Te 0.322 0.777 0.402
Te 0.081 0.902 0.125
Te 0.581 0.956 0.678
Te 0.723 0.598 0.178
Te 0.777 0.456 0.375
Te 0.822 0.919 0.044
Te 0.125 0.723 0.544
Te 0.375 0.419 0.098
Te 0.098 0.919 0.375
Te 0.402 0.125 0.581
Te 0.098 0.178 0.223
Te 0.456 0.678 0.081
Te 0.822 0.902 0.277
Te 0.125 0.402 0.081
Te 0.375 0.956 0.777
Te 0.581 0.625 0.402
Te 0.919 0.822 0.544
Te 0.777 0.322 0.902
Te 0.419 0.375 0.598
Te 0.081 0.178 0.456
Te 0.223 0.678 0.098
Te 0.178 0.098 0.723
Te 0.625 0.044 0.223
Te 0.875 0.598 0.919
Te 0.544 0.322 0.919
Te 0.598 0.875 0.419
Te 0.902 0.822 0.777
Te 0.902 0.081 0.625
Te 0.875 0.277 0.456
Te 0.178 0.081 0.956
Te 0.625 0.581 0.902
Te 0.419 0.044 0.322
Te 0.277 0.402 0.822
Te 0.223 0.544 0.625
Te 0.919 0.098 0.875
Te 0.678 0.223 0.598
Te 0.456 0.777 0.875
Te 0.044 0.419 0.822
Te 0.402 0.277 0.322
Te 0.044 0.625 0.723
Te 0.678 0.456 0.581
Te 0.277 0.875 0.956
CELL_PARAMETERS angstrom
14.825 0.000 0.000
-4.942 13.977 0.000
-4.942 -6.989 12.105
! SG: No. 230
! Uncorrected energy: -3.525 eV per atom
! Formation energy (no corrections): 212 meV per atom